Density functional theory data (PBE) for a relaxed Np2SbAu crystal.

Cell: 4.1052 4.1052 5.6855 Å, 90.00 90.00 90.00°
Last column: nearest neighbours and their distance in Å.
Fractional positions:
Np 0.0000 0.0000 0.2489  2 Np 2.83-2.86
Np 0.0000 0.0000 0.7511  2 Np 2.83-2.86
Sb 0.5000 0.5000 0.5000  2 Au 2.84
Au 0.5000 0.5000 0.0000  2 Sb 2.84

Summary:
Formation energy (no corrections), eV per atom: -0.164
Calculated total energy, eV/cell: -33.9
Offset from the most stable computed form, meV per atom: 0

Density functional theory data (PBE) for a relaxed NpSbAu2 crystal.

Cell: 4.4373 4.4373 4.5919 Å, 90.00 90.00 90.00°
Last column: nearest neighbours and their distance in Å.
Fractional positions:
Np 0.0000 0.0000 0.0000  4 Sb 3.14, 8 Au 3.19
Sb 0.5000 0.5000 0.0000  4 Np 3.14, 8 Au 3.19
Au 0.0000 0.5000 0.5000  4 Au 3.14, 4 Sb 3.19, 4 Np 3.19
Au 0.5000 0.0000 0.5000  4 Au 3.14, 4 Sb 3.19, 4 Np 3.19

Summary:
Formation energy (no corrections), eV per atom: -0.108
Calculated total energy, eV/cell: -24.1